## PrY2IO8 (PBE)

Data for PrY2IO8 after structural relaxation.

Unit cell a=5.0729 b=5.0729 c=6.9943 alpha=90.00 beta=90.00 gamma=90.29
With the nearest neighbours (Å) after each atom.
Positions (direct):
Pr (0.0000, 0.0000, 0.0000)  6 O 2.29-2.47
Y (0.5000, 0.5000, 0.2498)  6 O 2.18-2.43
Y (0.5000, 0.5000, 0.7502)  6 O 2.18-2.43
I (0.0000, 0.0000, 0.5000)  6 O 1.91
O (0.1825, 0.1825, 0.2999)  1 I 1.91
O (0.1825, 0.1825, 0.7001)  1 I 1.91
O (0.2653, 0.7347, 0.5000)  1 I 1.91
O (0.3177, 0.6823, 0.0000)  2 Y 2.18, 1 Pr 2.29
O (0.6823, 0.3177, 0.0000)  2 Y 2.18, 1 Pr 2.29
O (0.7347, 0.2653, 0.5000)  1 I 1.91
O (0.8175, 0.8175, 0.2999)  1 I 1.91
O (0.8175, 0.8175, 0.7001)  1 I 1.91

Properties
V: 15.00 Å³ per atom
raw total energy: -86.3 eV per cell
mass density: 5.29 g/cm³
total moment: 0.0 μB per formula unit
E_form (uncorrected): -2278 meV per atom